[1]
This record from Alexandria via LeMat-Bulk describes a geometry-optimized NbHgAs2Se structure. The functional is GGA-PBE.

Lattice parameters (Å, degrees): 5.0896 5.0896 4.9939 90.00 90.00 90.00
Fractional coordinates of all 5 atoms:
Nb 0.0000 0.0000 0.0000
Hg 0.5000 0.5000 0.5000
As 0.0000 0.5000 0.0000
As 0.5000 0.0000 0.0000
Se 0.0000 0.0000 0.5000

* raw formation energy: 0.13 eV per atom
* space group: No. 123
* relative energy among the computed polymorphs: 0.0 meV per atom
* total energy: -4.5054 eV per atom


[2]
This record from Alexandria via LeMat-Bulk describes a geometry-optimized NbSnHgAs2 structure. The functional is GGA-PBE.

Lattice parameters (Å, degrees): 5.0455 5.0455 5.3909 90.00 90.00 90.00
Fractional coordinates of all 5 atoms:
Nb 0.0000 0.0000 0.0000
Sn 0.5000 0.5000 0.0000
Hg 0.5000 0.5000 0.5000
As 0.0000 0.5000 0.5000
As 0.5000 0.0000 0.5000

* space group: No. 123
* ΔH_f (0 K): 1.42 eV per atom
* total energy: -3.3165 eV per atom


Copy entry 2 word for word.
This record from Alexandria via LeMat-Bulk describes a geometry-optimized NbSnHgAs2 structure. The functional is GGA-PBE.

Lattice parameters (Å, degrees): 5.0455 5.0455 5.3909 90.00 90.00 90.00
Fractional coordinates of all 5 atoms:
Nb 0.0000 0.0000 0.0000
Sn 0.5000 0.5000 0.0000
Hg 0.5000 0.5000 0.5000
As 0.0000 0.5000 0.5000
As 0.5000 0.0000 0.5000

* space group: No. 123
* ΔH_f (0 K): 1.42 eV per atom
* total energy: -3.3165 eV per atom


Copy entry 1 word for word.
This record from Alexandria via LeMat-Bulk describes a geometry-optimized NbHgAs2Se structure. The functional is GGA-PBE.

Lattice parameters (Å, degrees): 5.0896 5.0896 4.9939 90.00 90.00 90.00
Fractional coordinates of all 5 atoms:
Nb 0.0000 0.0000 0.0000
Hg 0.5000 0.5000 0.5000
As 0.0000 0.5000 0.0000
As 0.5000 0.0000 0.0000
Se 0.0000 0.0000 0.5000

* raw formation energy: 0.13 eV per atom
* space group: No. 123
* relative energy among the computed polymorphs: 0.0 meV per atom
* total energy: -4.5054 eV per atom


What did the first record say?
This record from Alexandria via LeMat-Bulk describes a geometry-optimized NbHgAs2Se structure. The functional is GGA-PBE.

Lattice parameters (Å, degrees): 5.0896 5.0896 4.9939 90.00 90.00 90.00
Fractional coordinates of all 5 atoms:
Nb 0.0000 0.0000 0.0000
Hg 0.5000 0.5000 0.5000
As 0.0000 0.5000 0.0000
As 0.5000 0.0000 0.0000
Se 0.0000 0.0000 0.5000

* raw formation energy: 0.13 eV per atom
* space group: No. 123
* relative energy among the computed polymorphs: 0.0 meV per atom
* total energy: -4.5054 eV per atom